{"formula": "CeNdS2N", "functional": "GGA-PBE", "state": "optimized geometry", "final_energy_ev_per_atom": -7.2430, "formation_energy_uncorrected_ev_per_atom": -1.787, "cell": [[3.967, 0.000, 0.000], [0.000, 3.967, 0.000], [0.000, 0.000, 14.288]], "species": ["Ce", "Ce", "Nd", "Nd", "S", "S", "S", "S", "N", "N"], "frac_coords": [[0.250, 0.250, 0.081], [0.750, 0.750, 0.919], [0.250, 0.250, 0.628], [0.750, 0.750, 0.372], [0.250, 0.250, 0.409], [0.250, 0.250, 0.811], [0.750, 0.750, 0.189], [0.750, 0.750, 0.591], [0.250, 0.750, 0.000], [0.750, 0.250, 0.000]]}



{"formula": "Tl3InHg2Bi3", "functional": "GGA-PBE", "state": "optimized geometry", "formation_energy_mev_per_atom": 8, "final_energy_ev_per_atom": -2.4457, "cell": [[7.983, 0.000, 0.000], [-3.991, 6.913, 0.000], [0.000, 0.000, 5.181]], "species": ["Tl", "Tl", "Tl", "In", "Hg", "Hg", "Bi", "Bi", "Bi"], "frac_coords": [[0.000, 0.436, 0.000], [0.436, 0.000, 0.000], [0.564, 0.564, 0.000], [0.000, 0.000, 0.000], [0.333, 0.667, 0.500], [0.667, 0.333, 0.500], [0.000, 0.752, 0.500], [0.248, 0.248, 0.500], [0.752, 0.000, 0.500]]}



{"formula": "Ba12Sn3Pd5", "functional": "GGA-PBE", "state": "optimized geometry", "formation_energy_mev_per_atom": -392, "final_energy_ev_per_atom": -3.4440, "cell": [[-9.755, 9.755, 9.755], [9.755, -9.755, 9.755], [9.755, 9.755, -9.755]], "species": ["Ba", "Ba", "Ba", "Ba", "Ba", "Ba", "Ba", "Ba", "Ba", "Ba", "Ba", "Ba", "Ba", "Ba", "Ba", "Ba", "Ba", "Ba", "Ba", "Ba", "Ba", "Ba", "Ba", "Ba", "Ba", "Ba", "Ba", "Ba", "Ba", "Ba", "Ba", "Ba", "Ba", "Ba", "Ba", "Ba", "Ba", "Ba", "Ba", "Ba", "Ba", "Ba", "Ba", "Ba", "Ba", "Ba", "Ba", "Ba", "Sn", "Sn", "Sn", "Sn", "Sn", "Sn", "Sn", "Sn", "Sn", "Sn", "Sn", "Sn", "Pd", "Pd", "Pd", "Pd", "Pd", "Pd", "Pd", "Pd", "Pd", "Pd", "Pd", "Pd", "Pd", "Pd", "Pd", "Pd", "Pd", "Pd", "Pd", "Pd"], "frac_coords": [[0.039, 0.214, 0.129], [0.039, 0.324, 0.910], [0.086, 0.714, 0.676], [0.086, 0.871, 0.410], [0.090, 0.629, 0.414], [0.090, 0.961, 0.676], [0.129, 0.039, 0.214], [0.129, 0.590, 0.914], [0.176, 0.214, 0.586], [0.176, 0.461, 0.590], [0.214, 0.129, 0.039], [0.214, 0.586, 0.176], [0.286, 0.324, 0.914], [0.286, 0.461, 0.371], [0.324, 0.910, 0.039], [0.324, 0.914, 0.286], [0.371, 0.286, 0.461], [0.371, 0.586, 0.910], [0.410, 0.086, 0.871], [0.410, 0.824, 0.539], [0.414, 0.090, 0.629], [0.414, 0.824, 0.786], [0.461, 0.371, 0.286], [0.461, 0.590, 0.176], [0.539, 0.410, 0.824], [0.539, 0.629, 0.714], [0.586, 0.176, 0.214], [0.586, 0.910, 0.371], [0.590, 0.176, 0.461], [0.590, 0.914, 0.129], [0.629, 0.414, 0.090], [0.629, 0.714, 0.539], [0.676, 0.086, 0.714], [0.676, 0.090, 0.961], [0.714, 0.539, 0.629], [0.714, 0.676, 0.086], [0.786, 0.414, 0.824], [0.786, 0.871, 0.961], [0.824, 0.539, 0.410], [0.824, 0.786, 0.414], [0.871, 0.410, 0.086], [0.871, 0.961, 0.786], [0.910, 0.039, 0.324], [0.910, 0.371, 0.586], [0.914, 0.129, 0.590], [0.914, 0.286, 0.324], [0.961, 0.676, 0.090], [0.961, 0.786, 0.871], [0.125, 0.250, 0.375], [0.125, 0.375, 0.750], [0.250, 0.375, 0.125], [0.250, 0.875, 0.625], [0.375, 0.125, 0.250], [0.375, 0.750, 0.125], [0.625, 0.250, 0.875], [0.625, 0.875, 0.750], [0.750, 0.125, 0.375], [0.750, 0.625, 0.875], [0.875, 0.625, 0.250], [0.875, 0.750, 0.625], [0.000, 0.000, 0.000], [0.000, 0.000, 0.500], [0.000, 0.500, 0.000], [0.000, 0.500, 0.500], [0.125, 0.750, 0.875], [0.125, 0.875, 0.250], [0.250, 0.125, 0.875], [0.250, 0.625, 0.375], [0.375, 0.250, 0.625], [0.375, 0.625, 0.750], [0.500, 0.000, 0.000], [0.500, 0.000, 0.500], [0.500, 0.500, 0.000], [0.500, 0.500, 0.500], [0.625, 0.375, 0.250], [0.625, 0.750, 0.375], [0.750, 0.375, 0.625], [0.750, 0.875, 0.125], [0.875, 0.125, 0.750], [0.875, 0.250, 0.125]]}